1.
Crystalline LiCa2LaH at its relaxed geometry, computed with PBE.

```
5
Lattice="5.4559 0.0000 0.0000 0.0000 5.4559 0.0000 0.0000 0.0000 4.7620" Properties=species:S:1:pos:R:3 pbc="T T T"
Ca 0.0000 2.7280 0.0000
Li 2.7280 2.7280 2.3810
La 0.0000 0.0000 2.3810
H 0.0000 0.0000 0.0000
Ca 2.7280 0.0000 0.0000
```

Values from the calculation:
- energy (eV per atom) = -2.890
- space-group type = P4/mmm (123)

=====

2.
Crystalline CaLaMg2H at its relaxed geometry, computed with PBE.

```
5
Lattice="-1.0212 1.0709 -5.0634 -4.4006 -2.8961 0.2751 -2.3503 3.6905 1.2545" Properties=species:S:1:pos:R:3 pbc="T T T"
Mg -2.2003 -1.4480 0.1375
H 0.0000 0.0000 0.0000
La -1.1752 1.8452 0.6273
Ca -3.8861 0.9326 -1.7669
Mg -0.5106 0.5354 -2.5317
```

Values from the calculation:
- energy (eV per atom) = -2.808
- space-group type = P4/mmm (123)

=====

3.
Crystalline Ca2LaMgH at its relaxed geometry, computed with PBE.

```
5
Lattice="5.1289 0.0000 0.0000 0.0000 5.1289 0.0000 0.0000 0.0000 5.2092" Properties=species:S:1:pos:R:3 pbc="T T T"
Ca 2.5644 0.0000 0.0000
H 0.0000 0.0000 0.0000
Mg 2.5644 2.5644 2.6046
Ca 0.0000 2.5644 0.0000
La 0.0000 0.0000 2.6046
```

Values from the calculation:
- energy (eV per atom) = -2.913
- space-group type = P4/mmm (123)

=====

4.
Crystalline CaLaMg2H at its relaxed geometry, computed with PBE.

```
5
Lattice="5.9335 0.0000 0.0000 0.0000 6.2806 0.0000 0.0000 0.0000 5.9335" Properties=species:S:1:pos:R:3 pbc="T T T"
Mg 2.9667 0.0000 0.0000
Mg 0.0000 0.0000 2.9667
La 0.0000 3.1403 0.0000
Ca 0.0000 0.0000 0.0000
H 2.9667 3.1403 2.9667
```

Values from the calculation:
- energy (eV per atom) = -1.404
- space-group type = P4/mmm (123)

=====

5.
Crystalline CaLaH2N at its relaxed geometry, computed with PBE.

```
5
Lattice="-1.5858 1.4435 -3.4188 4.2401 -4.9448 -4.0545 -2.9662 -2.7273 0.2243" Properties=species:S:1:pos:R:3 pbc="T T T"
H -0.7929 0.7218 -1.7094
Ca 2.1200 -2.4724 -2.0273
N -0.1559 -3.1143 -3.6245
La 0.0000 0.0000 0.0000
H -1.4831 -1.3637 0.1121
```

Values from the calculation:
- energy (eV per atom) = -3.863
- space-group type = P4/mmm (123)

=====

6.
Crystalline NaCaLa2H at its relaxed geometry, computed with PBE.

```
5
Lattice="-3.6984 -1.1410 3.2639 2.4978 -5.1329 1.0359 2.6840 2.0656 3.7634" Properties=species:S:1:pos:R:3 pbc="T T T"
Ca 0.7417 -2.1042 4.0316
H 0.0000 0.0000 0.0000
Na 1.2489 -2.5665 0.5179
La -1.8492 -0.5705 1.6320
La 1.3420 1.0328 1.8817
```

Values from the calculation:
- energy (eV per atom) = -3.311
- space-group type = P4/mmm (123)